## Rb2AuO2 (GGA-PBE)

Data for a relaxed Rb2AuO2 crystal.

- D(E_F) (states/eV per cell) = 5.1
- volume (Å³/cell) = 125.38
- E_tot (eV/atom) = -3.955
- formation energy (no corrections) (meV/atom) = -929
- space-group type = I4/mmm

Lattice parameters (Å, degrees): 7.609 7.609 7.609 147.70 147.70 46.34
Fractional coordinates of all 5 atoms:
Rb 0.155 0.155 0.000
Rb 0.845 0.845 0.000
Au 0.500 0.500 0.000
O 0.361 0.361 0.000
O 0.639 0.639 0.000